# 1
First-principles (GGA-PBE) data for KXeO3F after structural relaxation, as listed in the Alexandria database. Values from VASP.

Properties
uncorrected formation energy	-0.02	eV/f.u.
DOS at the Fermi energy	0.0000	states/eV/atom
space-group type	Pna2_1 (33)

Geometry as Quantum ESPRESSO input:
```
&SYSTEM
  ibrav = 0, nat = 24, ntyp = 4
/
ATOMIC_SPECIES
K 39.10 K.upf
Xe 131.29 Xe.upf
O 16.00 O.upf
F 19.00 F.upf
CELL_PARAMETERS angstrom
7.534 0.000 0.000
0.000 8.460 0.000
0.000 0.000 7.127
ATOMIC_POSITIONS crystal
K 0.127 0.153 0.000
K 0.373 0.653 0.500
K 0.627 0.347 0.000
K 0.873 0.847 0.500
Xe 0.101 0.633 0.023
Xe 0.399 0.133 0.523
Xe 0.601 0.867 0.023
Xe 0.899 0.367 0.523
O 0.102 0.710 0.773
O 0.206 0.991 0.539
O 0.211 0.814 0.136
O 0.289 0.314 0.636
O 0.294 0.491 0.039
O 0.398 0.210 0.273
O 0.602 0.790 0.773
O 0.706 0.509 0.539
O 0.711 0.686 0.136
O 0.789 0.186 0.636
O 0.794 0.009 0.039
O 0.898 0.290 0.273
F 0.050 0.581 0.377
F 0.450 0.081 0.877
F 0.550 0.919 0.377
F 0.950 0.419 0.877
```

=====

# 2
First-principles (GGA-PBE) data for Nd4AlRh after structural relaxation, as listed in the Alexandria database. Values from VASP.

Properties
DOS at the Fermi energy	1.1504	states/eV/atom
energy relative to the lowest polymorph listed for this composition	79	meV/atom
space-group type	C2/c (15)

Geometry as Quantum ESPRESSO input:
```
&SYSTEM
  ibrav = 0, nat = 12, ntyp = 3
/
ATOMIC_SPECIES
Nd 144.24 Nd.upf
Al 26.98 Al.upf
Rh 102.91 Rh.upf
CELL_PARAMETERS angstrom
4.493 -7.012 0.000
4.493 7.012 0.000
-2.763 0.000 5.504
ATOMIC_POSITIONS crystal
Nd 0.065 0.697 0.918
Nd 0.217 0.353 0.675
Nd 0.303 0.935 0.582
Nd 0.353 0.217 0.175
Nd 0.647 0.783 0.825
Nd 0.697 0.065 0.418
Nd 0.783 0.647 0.325
Nd 0.935 0.303 0.082
Al 0.375 0.625 0.250
Al 0.625 0.375 0.750
Rh 0.001 0.999 0.750
Rh 0.999 0.001 0.250
```

=====

# 3
First-principles (GGA-PBE) data for TbHo4Tm2 after structural relaxation, as listed in the Alexandria database. Values from VASP.

Properties
DOS at the Fermi energy	1.6833	states/eV/atom
energy relative to the lowest polymorph listed for this composition	134	meV/atom
space-group type	P2_1/m (11)

Geometry as Quantum ESPRESSO input:
```
&SYSTEM
  ibrav = 0, nat = 14, ntyp = 3
/
ATOMIC_SPECIES
Tb 158.93 Tb.upf
Ho 164.93 Ho.upf
Tm 168.93 Tm.upf
CELL_PARAMETERS angstrom
6.076 0.000 0.000
0.000 6.461 0.000
-2.916 0.000 10.998
ATOMIC_POSITIONS crystal
Tb 0.028 0.250 0.357
Tb 0.972 0.750 0.643
Ho 0.157 0.250 0.658
Ho 0.290 0.750 0.929
Ho 0.350 0.504 0.212
Ho 0.350 0.996 0.212
Ho 0.650 0.004 0.788
Ho 0.650 0.496 0.788
Ho 0.710 0.250 0.071
Ho 0.843 0.750 0.342
Tm 0.147 0.250 0.943
Tm 0.395 0.750 0.503
Tm 0.605 0.250 0.497
Tm 0.853 0.750 0.057
```

=====

# 4
First-principles (GGA-PBE) data for CaPmCd3 after structural relaxation, as listed in the Alexandria database. Values from VASP.

Properties
DOS at the Fermi energy	0.7583	states/eV/atom
electronic total energy	-2.22	eV/atom
space-group type	Cmcm (63)

Geometry as Quantum ESPRESSO input:
```
&SYSTEM
  ibrav = 0, nat = 10, ntyp = 3
/
ATOMIC_SPECIES
Ca 40.08 Ca.upf
Pm 145.00 Pm.upf
Cd 112.41 Cd.upf
CELL_PARAMETERS angstrom
1.782 -14.941 0.000
1.782 14.941 0.000
0.000 0.000 5.072
ATOMIC_POSITIONS crystal
Ca 0.212 0.788 0.750
Ca 0.788 0.212 0.250
Pm 0.074 0.926 0.250
Pm 0.926 0.074 0.750
Cd 0.326 0.674 0.750
Cd 0.380 0.620 0.250
Cd 0.477 0.523 0.250
Cd 0.523 0.477 0.750
Cd 0.620 0.380 0.750
Cd 0.674 0.326 0.250
```

=====

# 5
First-principles (GGA-PBE) data for Li5Hg2H after structural relaxation, as listed in the Alexandria database. Values from VASP.

Properties
DOS at the Fermi energy	0.4373	states/eV/atom
electronic total energy	-1.93	eV/atom
space-group type	I4mm (107)

Geometry as Quantum ESPRESSO input:
```
&SYSTEM
  ibrav = 0, nat = 16, ntyp = 3
/
ATOMIC_SPECIES
Li 6.94 Li.upf
Hg 200.59 Hg.upf
H 1.01 H.upf
CELL_PARAMETERS angstrom
5.804 0.000 0.000
0.000 5.804 0.000
0.000 0.000 8.023
ATOMIC_POSITIONS crystal
Li 0.000 0.000 0.000
Li 0.235 0.235 0.247
Li 0.235 0.765 0.247
Li 0.265 0.265 0.747
Li 0.265 0.735 0.747
Li 0.500 0.500 0.500
Li 0.735 0.265 0.747
Li 0.735 0.735 0.747
Li 0.765 0.235 0.247
Li 0.765 0.765 0.247
Hg 0.000 0.500 0.493
Hg 0.000 0.500 0.993
Hg 0.500 0.000 0.493
Hg 0.500 0.000 0.993
H 0.000 0.000 0.231
H 0.500 0.500 0.731
```

=====

# 6
First-principles (GGA-PBE) data for YRh3C after structural relaxation, as listed in the Alexandria database. Values from VASP.

Properties
DOS at the Fermi energy	0.7217	states/eV/atom
energy relative to the lowest polymorph listed for this composition	3089	meV/atom
space-group type	Pm-3m (221)

Geometry as Quantum ESPRESSO input:
```
&SYSTEM
  ibrav = 0, nat = 5, ntyp = 3
/
ATOMIC_SPECIES
Y 88.91 Y.upf
Rh 102.91 Rh.upf
C 12.01 C.upf
CELL_PARAMETERS angstrom
4.908 0.000 0.000
0.000 4.908 0.000
0.000 0.000 4.908
ATOMIC_POSITIONS crystal
Y 0.000 0.000 0.000
Rh 0.000 0.000 0.500
Rh 0.000 0.500 0.000
Rh 0.500 0.000 0.000
C 0.500 0.500 0.500
```

=====

# 7
First-principles (GGA-PBE) data for BeV2P after structural relaxation, as listed in the Alexandria database. Values from VASP.

Properties
DOS at the Fermi energy	0.7729	states/eV/atom
energy relative to the lowest polymorph listed for this composition	0	meV/atom
space-group type	P2_1/m (11)

Geometry as Quantum ESPRESSO input:
```
&SYSTEM
  ibrav = 0, nat = 8, ntyp = 3
/
ATOMIC_SPECIES
Be 9.01 Be.upf
V 50.94 V.upf
P 30.97 P.upf
CELL_PARAMETERS angstrom
4.593 0.000 0.000
0.000 3.313 0.000
-2.183 0.000 5.983
ATOMIC_POSITIONS crystal
Be 0.155 0.250 0.288
Be 0.845 0.750 0.712
V 0.294 0.750 0.074
V 0.296 0.750 0.571
V 0.704 0.250 0.429
V 0.706 0.250 0.926
P 0.143 0.250 0.785
P 0.857 0.750 0.215
```

=====

# 8
First-principles (GGA-PBE) data for LiReSi2 after structural relaxation, as listed in the Alexandria database. Values from VASP.

Properties
uncorrected formation energy	0.18	eV/f.u.
DOS at the Fermi energy	0.6456	states/eV/atom
energy relative to the lowest polymorph listed for this composition	194	meV/atom
space-group type	P4/mmm (123)

Geometry as Quantum ESPRESSO input:
```
&SYSTEM
  ibrav = 0, nat = 4, ntyp = 3
/
ATOMIC_SPECIES
Li 6.94 Li.upf
Re 186.21 Re.upf
Si 28.09 Si.upf
CELL_PARAMETERS angstrom
4.104 0.000 0.000
0.000 4.104 0.000
0.000 0.000 3.106
ATOMIC_POSITIONS crystal
Li 0.000 0.000 0.000
Re 0.500 0.500 0.000
Si 0.000 0.500 0.500
Si 0.500 0.000 0.500
```

=====

# 9
First-principles (GGA-PBE) data for CaFe2H7 after structural relaxation, as listed in the Alexandria database. Values from VASP.

Properties
DOS at the Fermi energy	0.3953	states/eV/atom
electronic total energy	-4.35	eV/atom
space-group type	Cmmm (65)

Geometry as Quantum ESPRESSO input:
```
&SYSTEM
  ibrav = 0, nat = 10, ntyp = 3
/
ATOMIC_SPECIES
Ca 40.08 Ca.upf
Fe 55.84 Fe.upf
H 1.01 H.upf
CELL_PARAMETERS angstrom
2.497 -4.214 0.000
2.497 4.214 0.000
0.000 0.000 3.443
ATOMIC_POSITIONS crystal
Ca 0.000 0.000 0.000
Fe 0.306 0.694 0.500
Fe 0.694 0.306 0.500
H 0.039 0.328 0.500
H 0.314 0.686 0.000
H 0.328 0.039 0.500
H 0.500 0.500 0.500
H 0.672 0.961 0.500
H 0.686 0.314 0.000
H 0.961 0.672 0.500
```

=====

# 10
First-principles (GGA-PBE) data for AlTl16In12 after structural relaxation, as listed in the Alexandria database. Values from VASP.

Properties
DOS at the Fermi energy	0.3714	states/eV/atom
electronic total energy	-2.53	eV/atom
space-group type	Cm (8)

Geometry as Quantum ESPRESSO input:
```
&SYSTEM
  ibrav = 0, nat = 29, ntyp = 3
/
ATOMIC_SPECIES
Al 26.98 Al.upf
Tl 204.38 Tl.upf
In 114.82 In.upf
CELL_PARAMETERS angstrom
5.954 -8.465 0.000
5.954 8.465 0.000
-5.847 0.000 8.453
ATOMIC_POSITIONS crystal
Al 0.000 0.000 0.000
Tl 0.007 0.368 0.678
Tl 0.043 0.775 0.685
Tl 0.048 0.374 0.079
Tl 0.078 0.693 0.991
Tl 0.368 0.007 0.678
Tl 0.369 0.766 0.354
Tl 0.371 0.371 0.316
Tl 0.371 0.371 0.678
Tl 0.374 0.048 0.079
Tl 0.662 0.972 0.281
Tl 0.691 0.691 0.389
Tl 0.693 0.078 0.991
Tl 0.741 0.741 0.027
Tl 0.766 0.369 0.354
Tl 0.775 0.043 0.685
Tl 0.972 0.662 0.281
In 0.005 0.191 0.306
In 0.015 0.015 0.507
In 0.169 0.169 0.870
In 0.177 0.554 0.491
In 0.191 0.005 0.306
In 0.365 0.549 0.040
In 0.368 0.735 0.865
In 0.549 0.365 0.040
In 0.552 0.732 0.671
In 0.554 0.177 0.491
In 0.732 0.552 0.671
In 0.735 0.368 0.865
```

=====

# 11
First-principles (GGA-PBE) data for Zr3TlW after structural relaxation, as listed in the Alexandria database. Values from VASP.

Properties
DOS at the Fermi energy	1.8429	states/eV/atom
electronic total energy	-7.44	eV/atom
space-group type	Pm-3m (221)

Geometry as Quantum ESPRESSO input:
```
&SYSTEM
  ibrav = 0, nat = 5, ntyp = 3
/
ATOMIC_SPECIES
Zr 91.22 Zr.upf
Tl 204.38 Tl.upf
W 183.84 W.upf
CELL_PARAMETERS angstrom
5.114 0.000 0.000
0.000 5.114 0.000
0.000 0.000 5.114
ATOMIC_POSITIONS crystal
Zr 0.000 0.000 0.500
Zr 0.000 0.500 0.000
Zr 0.500 0.000 0.000
Tl 0.500 0.500 0.500
W 0.000 0.000 0.000
```

=====

# 12
First-principles (GGA-PBE) data for BiSBr2 after structural relaxation, as listed in the Alexandria database. Values from VASP.

Properties
uncorrected formation energy	1.77	eV/f.u.
DOS at the Fermi energy	0.6008	states/eV/atom
energy relative to the lowest polymorph listed for this composition	544	meV/atom
space-group type	R-3m (166)

Geometry as Quantum ESPRESSO input:
```
&SYSTEM
  ibrav = 0, nat = 12, ntyp = 3
/
ATOMIC_SPECIES
Bi 208.98 Bi.upf
S 32.06 S.upf
Br 79.90 Br.upf
CELL_PARAMETERS angstrom
3.723 0.000 0.000
-1.862 3.224 0.000
0.000 0.000 29.923
ATOMIC_POSITIONS crystal
Bi 0.000 0.000 0.000
Bi 0.333 0.667 0.667
Bi 0.667 0.333 0.333
S 0.000 0.000 0.500
S 0.333 0.667 0.167
S 0.667 0.333 0.833
Br 0.000 0.000 0.093
Br 0.000 0.000 0.907
Br 0.333 0.667 0.573
Br 0.333 0.667 0.760
Br 0.667 0.333 0.240
Br 0.667 0.333 0.427
```